1.
Density functional theory data (meta-GGA SCAN) for Ta2Ni3 at its PBEsol-relaxed geometry.

Cell lengths 4.1012, 4.1012, 5.0087 Å; angles 90.00, 90.00, 120.00 degrees
Closest atoms and distances in Å follow each position.
Atoms (fractional coordinates):
Ta 0.3333 0.6667 0.1982  5 Ni 2.41-2.55
Ta 0.6667 0.3333 0.8018  5 Ni 2.41-2.55
Ni 0.0000 0.0000 0.5000  6 Ni 2.59, 6 Ta 2.81
Ni 0.3333 0.6667 0.7072  5 Ta 2.41-2.55, 3 Ni 2.59
Ni 0.6667 0.3333 0.2928  5 Ta 2.41-2.55, 3 Ni 2.59

Summary:
The value obtained for the energy of formation from the pure elements is 0.0742 eV per atom. The density of states at the Fermi level comes out at 0.905 states/eV per atom. The symmetry is P-3m1 (164).



2.
Density functional theory data (meta-GGA SCAN) for TaTc2Ni at its PBEsol-relaxed geometry.

Cell lengths 5.0980, 5.0980, 2.6483 Å; angles 100.71, 100.71, 118.64 degrees
Closest atoms and distances in Å follow each position.
Atoms (fractional coordinates):
Ta 0.0000 0.0000 0.0000  2 Ni 2.60, 4 Tc 2.65, 2 Ta 2.65
Tc 0.0000 0.5000 0.5000  4 Tc 2.60-2.65, 2 Ta 2.65, 2 Ni 2.65
Tc 0.5000 0.0000 0.5000  4 Tc 2.60-2.65, 2 Ta 2.65, 2 Ni 2.65
Ni 0.5000 0.5000 0.0000  2 Ta 2.60, 4 Tc 2.65, 2 Ni 2.65

Summary:
The value obtained for the energy of formation from the pure elements is -0.0177 eV per atom. The density of states at the Fermi level comes out at 0.890 states/eV per atom. The symmetry is C2/m (12).



3.
Density functional theory data (meta-GGA SCAN) for Ta2TcNi at its PBEsol-relaxed geometry.

Cell lengths 3.1613, 3.1613, 5.9532 Å; angles 90.00, 90.00, 90.00 degrees
Closest atoms and distances in Å follow each position.
Atoms (fractional coordinates):
Ta 0.0000 0.0000 0.2445  4 Ni 2.67, 4 Tc 2.70, 1 Ta 2.91
Ta 0.0000 0.0000 0.7555  4 Ni 2.67, 4 Tc 2.70, 1 Ta 2.91
Tc 0.5000 0.5000 0.5000  8 Ta 2.70, 2 Ni 2.98
Ni 0.5000 0.5000 0.0000  8 Ta 2.67, 2 Tc 2.98

Summary:
The value obtained for the energy of formation from the pure elements is -0.3115 eV per atom. The density of states at the Fermi level comes out at 0.852 states/eV per atom. The symmetry is P4/mmm (123).



4.
Density functional theory data (meta-GGA SCAN) for Ta2TcNi at its PBEsol-relaxed geometry.

Cell lengths 3.1997, 3.1997, 5.8322 Å; angles 90.00, 90.00, 90.00 degrees
Closest atoms and distances in Å follow each position.
Atoms (fractional coordinates):
Ta 0.0000 0.0000 0.0000  4 Ni 2.57, 1 Tc 2.72, 4 Ta 2.86
Ta 0.5000 0.5000 0.2993  4 Tc 2.65, 4 Ta 2.86, 1 Ni 2.86
Tc 0.0000 0.0000 0.5343  5 Ta 2.65-2.72, 4 Ni 2.71
Ni 0.5000 0.5000 0.7904  5 Ta 2.57-2.86, 4 Tc 2.71

Summary:
The value obtained for the energy of formation from the pure elements is -0.1497 eV per atom. The density of states at the Fermi level comes out at 0.859 states/eV per atom. The symmetry is P4mm (99).



5.
Density functional theory data (meta-GGA SCAN) for TaTcNi at its PBEsol-relaxed geometry.

Cell lengths 6.3832, 6.2671, 2.6595 Å; angles 80.32, 75.43, 24.25 degrees
Closest atoms and distances in Å follow each position.
Atoms (fractional coordinates):
Ta 0.0000 0.0000 0.0000  4 Ni 2.59-2.86, 4 Ta 2.66, 2 Tc 2.77
Tc 0.3169 0.3169 0.6831  4 Ni 2.50-2.78, 4 Tc 2.66, 2 Ta 2.77
Ni 0.6633 0.6633 0.3367  4 Tc 2.50-2.78, 2 Ta 2.59, 4 Ni 2.66

Summary:
The value obtained for the energy of formation from the pure elements is -0.0525 eV per atom. The density of states at the Fermi level comes out at 0.609 states/eV per atom. The symmetry is Fmm2 (42).



6.
Density functional theory data (meta-GGA SCAN) for Ta2TcNi at its PBEsol-relaxed geometry.

Cell lengths 2.7419, 2.7419, 8.2861 Å; angles 90.00, 90.00, 107.27 degrees
Closest atoms and distances in Å follow each position.
Atoms (fractional coordinates):
Ta 0.0000 0.0000 0.2384  2 Ni 2.56, 2 Tc 2.71, 4 Ta 2.74
Ta 0.0000 0.0000 0.7616  2 Ni 2.56, 2 Tc 2.71, 4 Ta 2.74
Tc 0.5000 0.5000 0.5000  4 Ta 2.71, 4 Tc 2.74
Ni 0.5000 0.5000 0.0000  4 Ta 2.56, 4 Ni 2.74

Summary:
The value obtained for the energy of formation from the pure elements is -0.1630 eV per atom. The density of states at the Fermi level comes out at 0.633 states/eV per atom. The symmetry is Cmmm (65).



Which value of energy of formation from the pure elements does entry 3 give?
-0.3115 eV per atom



Which of these has the lowest energy of formation from the pure elements?
number 3



Number 5 is which compound?
TaTcNi